## Ho2Al3Ir (GGA-PBE)

Data for a geometry-optimized Ho2Al3Ir structure. Values from VASP.

Summary:
- formation enthalpy at 0 K (kJ/mol of atoms) = -69.1
- crystal system = trigonal
- space-group type = No. 166

```
&SYSTEM
  ibrav = 0, nat = 6, ntyp = 3
/
ATOMIC_SPECIES
Ho 164.93 Ho.upf
Al 26.98 Al.upf
Ir 192.22 Ir.upf
CELL_PARAMETERS angstrom
2.730 1.576 4.401
-2.730 1.576 4.401
0.000 -3.153 4.401
ATOMIC_POSITIONS angstrom
Ho 0.000 0.000 1.671
Ho 0.000 0.000 11.533
Al -1.365 -0.788 4.401
Al -1.365 0.788 8.803
Al 0.000 1.576 4.401
Ir 0.000 0.000 6.602
```